No. 1
DFT (PBE-GGA) results for a geometry-optimized Pm2SbI2 structure.

Computed properties:
calculated volume = 194.8 Å³ per cell

abc: 11.709 11.709 11.709
angles: 21.84 21.84 21.84
Sites, in units of the cell vectors:
I1 0.225 0.225 0.225
I2 0.775 0.775 0.775
Pm1 0.384 0.384 0.384
Pm2 0.616 0.616 0.616
Sb1 0.000 0.000 0.000

---

No. 2
DFT (PBE-GGA) results for a geometry-optimized Pm2SeI2 structure.

Computed properties:
calculated volume = 180.1 Å³ per cell

abc: 11.535 11.535 11.535
angles: 21.47 21.47 21.47
Sites, in units of the cell vectors:
I1 0.227 0.227 0.227
I2 0.773 0.773 0.773
Pm1 0.621 0.621 0.621
Pm2 0.379 0.379 0.379
Se1 0.000 0.000 0.000

---

No. 3
DFT (PBE-GGA) results for a geometry-optimized PmSmSe2I2 structure.

Computed properties:
calculated volume = 192.4 Å³ per cell

abc: 4.996 4.996 7.707
angles: 90.00 90.00 90.00
Sites, in units of the cell vectors:
I1 0.500 0.500 0.613
I2 0.000 0.000 0.386
Se1 0.500 0.000 0.001
Se2 0.000 0.500 0.001
Pm1 0.000 0.000 0.804
Sm1 0.500 0.500 0.195

---

No. 4
DFT (PBE-GGA) results for a geometry-optimized Pm7SiI12 structure.

Computed properties:
calculated volume = 793.3 Å³ per cell

abc: 9.916 9.916 9.916
angles: 107.81 107.81 107.81
Sites, in units of the cell vectors:
I1 0.389 0.154 0.469
I2 0.846 0.531 0.611
I3 0.769 0.313 0.922
I4 0.687 0.078 0.231
I5 0.531 0.611 0.846
I6 0.313 0.922 0.769
I7 0.154 0.469 0.389
I8 0.231 0.687 0.078
I9 0.469 0.389 0.154
I10 0.078 0.231 0.687
I11 0.922 0.769 0.313
I12 0.611 0.846 0.531
Pm1 0.032 0.103 0.312
Pm2 0.312 0.032 0.103
Pm3 0.897 0.688 0.968
Pm4 0.103 0.312 0.032
Pm5 0.968 0.897 0.688
Pm6 0.500 0.500 0.500
Pm7 0.688 0.968 0.897
Si1 0.000 0.000 0.000

---

No. 5
DFT (PBE-GGA) results for a geometry-optimized Pm4SiI5 structure.

Computed properties:
calculated volume = 368.7 Å³ per cell

abc: 9.996 9.996 9.024
angles: 102.36 102.36 24.78
Sites, in units of the cell vectors:
I1 0.166 0.166 0.337
I2 0.500 0.500 0.500
I3 0.829 0.829 0.173
I4 0.834 0.834 0.663
I5 0.171 0.171 0.827
Pm1 0.353 0.353 0.926
Pm2 0.000 0.000 0.213
Pm3 0.000 0.000 0.787
Pm4 0.647 0.647 0.074
Si1 0.500 0.500 0.000

---

No. 6
DFT (PBE-GGA) results for a geometry-optimized Pm7SnI12 structure.

Computed properties:
calculated volume = 810.2 Å³ per cell

abc: 10.015 10.015 10.015
angles: 108.10 108.10 108.10
Sites, in units of the cell vectors:
I1 0.309 0.768 0.921
I2 0.392 0.472 0.156
I3 0.156 0.392 0.472
I4 0.079 0.691 0.232
I5 0.528 0.844 0.608
I6 0.472 0.156 0.392
I7 0.921 0.309 0.768
I8 0.232 0.079 0.691
I9 0.691 0.232 0.079
I10 0.844 0.608 0.528
I11 0.768 0.921 0.309
I12 0.608 0.528 0.844
Pm1 0.500 0.500 0.500
Pm2 0.329 0.111 0.039
Pm3 0.671 0.889 0.961
Pm4 0.111 0.039 0.329
Pm5 0.889 0.961 0.671
Pm6 0.039 0.329 0.111
Pm7 0.961 0.671 0.889
Sn1 0.000 0.000 0.000

---

No. 7
DFT (PBE-GGA) results for a geometry-optimized PmTeI structure.

Computed properties:
calculated volume = 119.5 Å³ per cell

abc: 8.279 8.279 8.279
angles: 152.67 152.63 39.06
Sites, in units of the cell vectors:
Pm1 0.668 0.668 0.000
I1 0.033 0.033 0.000
Te1 0.271 0.271 0.000

---

No. 8
DFT (PBE-GGA) results for a geometry-optimized PmZnI structure.

Computed properties:
calculated volume = 196.2 Å³ per cell

abc: 4.305 4.305 12.226
angles: 90.93 90.93 60.00
Sites, in units of the cell vectors:
Zn1 0.333 0.333 0.505
Zn2 0.667 0.667 0.495
I1 0.677 0.677 0.833
I2 0.323 0.323 0.167
Pm1 0.005 0.005 0.663
Pm2 0.995 0.995 0.337

---

Respective final energy values: -23.4, -24.0, -29.0, -83.4, -44.5, -81.0, -13.1, -20.2 eV for the cell shown.